*w*
Density functional theory data (PBE-GGA) for an optimized crystal structure of ScTi3Pd.

As for the symmetry: Pm-3m (221). As for the magnetic moment: 0.62 μB/f.u.

abc: 4.5863 4.5863 4.5863
angles: 90.00 90.00 90.00
Last column: nearest neighbours and their distance in Å.
Element x y z (fractional)
Ti1 0.0000 0.5000 0.0000  2 Sc 2.29
Ti2 0.0000 0.0000 0.5000  2 Sc 2.29
Ti3 0.5000 0.0000 0.0000  2 Sc 2.29
Pd1 0.5000 0.5000 0.5000  12 Ti 3.24
Sc1 0.0000 0.0000 0.0000  6 Ti 2.29

*x*
Density functional theory data (PBE-GGA) for an optimized crystal structure of ScTi3Pd.

As for the symmetry: Pm-3m (221). As for the magnetic moment: 0.00 μB/f.u.

abc: 4.7946 4.7946 4.7946
angles: 90.00 90.00 90.00
Last column: nearest neighbours and their distance in Å.
Element x y z (fractional)
Sc1 0.5000 0.5000 0.5000  12 Ti 3.39
Ti1 0.0000 0.5000 0.0000  2 Pd 2.40
Pd1 0.0000 0.0000 0.0000  6 Ti 2.40
Ti2 0.0000 0.0000 0.5000  2 Pd 2.40
Ti3 0.5000 0.0000 0.0000  2 Pd 2.40

Stability, lowest: *w*

*w*
Density functional theory data (PBE-GGA) for an optimized crystal structure of ScTiPd3.

As for the symmetry: Pnma (62). As for the magnetic moment: 0.00 μB/f.u.

abc: 7.4041 6.5172 7.2416
angles: 90.00 90.00 90.00
Last column: nearest neighbours and their distance in Å.
Element x y z (fractional)
Ti1 0.0000 0.5000 0.5000  6 Pd 2.61-2.70
Ti2 0.0000 0.5000 0.0000  6 Pd 2.61-2.70
Ti3 0.5000 0.0000 0.0000  6 Pd 2.61-2.70
Sc1 0.6447 0.4237 0.2500  8 Pd 2.67-2.83
Pd1 0.3357 0.3492 0.4443  2 Ti 2.61-2.70, 3 Sc 2.67-2.73, 3 Pd 2.81-2.88
Pd2 0.1643 0.8492 0.9443  2 Ti 2.61-2.70, 3 Sc 2.67-2.73, 3 Pd 2.81-2.88
Pd3 0.6643 0.6508 0.5557  2 Ti 2.61-2.70, 3 Sc 2.67-2.73, 3 Pd 2.81-2.88
Pd4 0.6643 0.6508 0.9443  2 Ti 2.61-2.70, 3 Sc 2.67-2.73, 3 Pd 2.81-2.88
Pd5 0.3357 0.3492 0.0557  2 Ti 2.61-2.70, 3 Sc 2.67-2.73, 3 Pd 2.81-2.88
Pd6 0.8767 0.7684 0.2500  2 Ti 2.68, 4 Pd 2.82-2.88, 2 Sc 2.82-2.83
Sc2 0.3553 0.5763 0.7500  8 Pd 2.67-2.83
Sc3 0.1447 0.0763 0.2500  8 Pd 2.67-2.83
Ti4 0.5000 0.0000 0.5000  6 Pd 2.61-2.70
Pd7 0.3767 0.7316 0.2500  2 Ti 2.68, 4 Pd 2.82-2.88, 2 Sc 2.82-2.83
Pd8 0.1643 0.8492 0.5557  2 Ti 2.61-2.70, 3 Sc 2.67-2.73, 3 Pd 2.81-2.88
Pd9 0.8357 0.1508 0.0557  2 Ti 2.61-2.70, 3 Sc 2.67-2.73, 3 Pd 2.81-2.88
Pd10 0.1233 0.2316 0.7500  2 Ti 2.68, 4 Pd 2.82-2.88, 2 Sc 2.82-2.83
Pd11 0.6233 0.2684 0.7500  2 Ti 2.68, 4 Pd 2.82-2.88, 2 Sc 2.82-2.83
Sc4 0.8553 0.9237 0.7500  8 Pd 2.67-2.83
Pd12 0.8357 0.1508 0.4443  2 Ti 2.61-2.70, 3 Sc 2.67-2.73, 3 Pd 2.81-2.88

*x*
Density functional theory data (PBE-GGA) for an optimized crystal structure of ScTiPd3.

As for the symmetry: Pm-3m (221). As for the magnetic moment: 0.00 μB/f.u.

abc: 4.6587 4.6587 4.6587
angles: 90.00 90.00 90.00
Last column: nearest neighbours and their distance in Å.
Element x y z (fractional)
Pd1 0.0000 0.0000 0.5000  2 Ti 2.33
Pd2 0.5000 0.0000 0.0000  2 Ti 2.33
Ti1 0.0000 0.0000 0.0000  6 Pd 2.33
Pd3 0.0000 0.5000 0.0000  2 Ti 2.33
Sc1 0.5000 0.5000 0.5000  12 Pd 3.29

Stability, lowest: *x*

*w*
Density functional theory data (PBE-GGA) for an optimized crystal structure of Sc2Tl2Pd.

As for the symmetry: P4/mbm (127). As for the magnetic moment: 0.00 μB/f.u.

abc: 7.0392 7.0392 4.8047
angles: 90.00 90.00 90.00
Last column: nearest neighbours and their distance in Å.
Element x y z (fractional)
Tl1 0.6601 0.8399 0.5000  6 Sc 3.01-3.28, 1 Tl 3.19
Tl2 0.3399 0.1601 0.5000  6 Sc 3.01-3.28, 1 Tl 3.19
Pd1 0.5000 0.5000 0.0000  4 Sc 2.65
Sc1 0.1571 0.3429 0.0000  2 Pd 2.65
Sc2 0.3429 0.8429 0.0000  2 Pd 2.65
Sc3 0.8429 0.6571 0.0000  2 Pd 2.65
Pd2 0.0000 0.0000 0.0000  4 Sc 2.65
Sc4 0.6571 0.1571 0.0000  2 Pd 2.65
Tl3 0.8399 0.3399 0.5000  6 Sc 3.01-3.28, 1 Tl 3.19
Tl4 0.1601 0.6601 0.5000  6 Sc 3.01-3.28, 1 Tl 3.19

*x*
Density functional theory data (PBE-GGA) for an optimized crystal structure of Sc2Tl2Pd.

As for the symmetry: Cmmm (65). As for the magnetic moment: 0.00 μB/f.u.

abc: 3.3299 3.2974 10.5271
angles: 80.99 90.00 90.00
Last column: nearest neighbours and their distance in Å.
Element x y z (fractional)
Sc1 0.5000 0.4208 0.1584  4 Pd 2.86, 4 Tl 3.19
Sc2 0.5000 0.5792 0.8416  4 Pd 2.86, 4 Tl 3.19
Tl1 0.0000 0.1834 0.6331  4 Sc 3.19, 6 Tl 3.22-3.33
Pd1 0.0000 0.0000 0.0000  8 Sc 2.86
Tl2 0.0000 0.8166 0.3669  4 Sc 3.19, 6 Tl 3.22-3.33

Stability, lowest: *w*

*w*
Density functional theory data (PBE-GGA) for an optimized crystal structure of ScTl2Pd2.

As for the symmetry: I4/mmm (139). As for the magnetic moment: 0.00 μB/f.u.

abc: 4.1263 4.1263 7.1708
angles: 73.28 73.28 90.00
Last column: nearest neighbours and their distance in Å.
Element x y z (fractional)
Tl1 0.7500 0.2500 0.5000  4 Pd 2.87, 4 Tl 2.92
Pd1 0.5976 0.5976 0.8047  1 Pd 2.56
Pd2 0.4024 0.4024 0.1953  1 Pd 2.56
Sc1 0.0000 0.0000 0.0000  8 Pd 3.19
Tl2 0.2500 0.7500 0.5000  4 Pd 2.87, 4 Tl 2.92

*x*
Density functional theory data (PBE-GGA) for an optimized crystal structure of ScTl2Pd2.

As for the symmetry: P4/mbm (127). As for the magnetic moment: 0.00 μB/f.u.

abc: 7.0571 7.0571 4.2127
angles: 90.00 90.00 90.00
Last column: nearest neighbours and their distance in Å.
Element x y z (fractional)
Tl1 0.3288 0.1712 0.5000  6 Pd 2.85-3.04
Pd1 0.8635 0.6365 0.0000  1 Pd 2.72, 2 Sc 2.74, 6 Tl 2.85-3.04
Pd2 0.3635 0.8635 0.0000  1 Pd 2.72, 2 Sc 2.74, 6 Tl 2.85-3.04
Tl2 0.6712 0.8288 0.5000  6 Pd 2.85-3.04
Tl3 0.8288 0.3288 0.5000  6 Pd 2.85-3.04
Tl4 0.1712 0.6712 0.5000  6 Pd 2.85-3.04
Pd3 0.6365 0.1365 0.0000  1 Pd 2.72, 2 Sc 2.74, 6 Tl 2.85-3.04
Sc1 0.0000 0.0000 0.0000  4 Pd 2.74
Sc2 0.5000 0.5000 0.0000  4 Pd 2.74
Pd4 0.1365 0.3635 0.0000  1 Pd 2.72, 2 Sc 2.74, 6 Tl 2.85-3.04

*y*
Density functional theory data (PBE-GGA) for an optimized crystal structure of ScTl2Pd2.

As for the symmetry: P4/mbm (127). As for the magnetic moment: 0.54 μB/f.u.

abc: 7.9213 7.9213 3.2936
angles: 90.00 90.00 90.00
Last column: nearest neighbours and their distance in Å.
Element x y z (fractional)
Tl1 0.1388 0.3612 0.0000  6 Pd 2.78-2.90, 2 Sc 3.07
Tl2 0.3612 0.8612 0.0000  6 Pd 2.78-2.90, 2 Sc 3.07
Tl3 0.6388 0.1388 0.0000  6 Pd 2.78-2.90, 2 Sc 3.07
Sc1 0.0000 0.0000 0.0000  4 Tl 3.07, 2 Sc 3.29, 8 Pd 3.40
Sc2 0.5000 0.5000 0.0000  4 Tl 3.07, 2 Sc 3.29, 8 Pd 3.40
Pd1 0.6618 0.8382 0.5000  6 Tl 2.78-2.90
Tl4 0.8612 0.6388 0.0000  6 Pd 2.78-2.90, 2 Sc 3.07
Pd2 0.8382 0.3382 0.5000  6 Tl 2.78-2.90
Pd3 0.3382 0.1618 0.5000  6 Tl 2.78-2.90
Pd4 0.1618 0.6618 0.5000  6 Tl 2.78-2.90

Stability, lowest: *w*

*w*
Density functional theory data (PBE-GGA) for an optimized crystal structure of ScTlPd6.

As for the symmetry: P-1 (2). As for the magnetic moment: 0.00 μB/f.u.

abc: 7.0114 7.6856 5.2110
angles: 42.39 47.39 56.61
Last column: nearest neighbours and their distance in Å.
Element x y z (fractional)
Pd1 0.0544 0.5427 0.1530  6 Pd 2.70-2.97, 1 Sc 2.75, 1 Tl 2.82
Tl1 0.0000 0.0000 0.0000  12 Pd 2.81-3.06
Pd2 0.9456 0.4573 0.8470  6 Pd 2.70-2.97, 1 Sc 2.75, 1 Tl 2.82
Pd3 0.7504 0.9429 0.7618  6 Pd 2.70-2.98, 1 Sc 2.75, 1 Tl 2.81
Pd4 0.2496 0.0571 0.2382  6 Pd 2.70-2.98, 1 Sc 2.75, 1 Tl 2.81
Sc1 0.5000 0.5000 0.5000  6 Pd 2.75
Pd5 0.4570 0.2503 0.3489  6 Pd 2.70-2.98, 1 Sc 2.75, 1 Tl 2.81
Pd6 0.5430 0.7497 0.6511  6 Pd 2.70-2.98, 1 Sc 2.75, 1 Tl 2.81

*x*
Density functional theory data (PBE-GGA) for an optimized crystal structure of ScTlPd6.

As for the symmetry: P4/mmm (123). As for the magnetic moment: 0.00 μB/f.u.

abc: 4.0363 5.7339 5.7339
angles: 89.95 90.00 90.00
Last column: nearest neighbours and their distance in Å.
Element x y z (fractional)
Tl1 0.5000 0.5000 0.5000  12 Pd 2.87-2.89
Pd1 0.0000 0.7549 0.2451  8 Pd 2.81-2.92, 2 Sc 2.83, 2 Tl 2.89
Pd2 0.0000 0.7548 0.7548  8 Pd 2.81-2.92, 2 Sc 2.83, 2 Tl 2.89
Pd3 0.0000 0.2451 0.7549  8 Pd 2.81-2.92, 2 Sc 2.83, 2 Tl 2.89
Pd4 0.5000 0.0000 0.5000  8 Pd 2.86, 2 Tl 2.87, 2 Sc 2.87
Pd5 0.5000 0.5000 0.0000  8 Pd 2.86, 2 Sc 2.87, 2 Tl 2.87
Sc1 0.5000 0.0000 0.0000  12 Pd 2.83-2.87
Pd6 0.0000 0.2452 0.2452  8 Pd 2.81-2.92, 2 Sc 2.83, 2 Tl 2.89

Stability, lowest: *w*

*w*
Density functional theory data (PBE-GGA) for an optimized crystal structure of Tm2ScPd.

As for the symmetry: Cmcm (63). As for the magnetic moment: 0.00 μB/f.u.

abc: 3.6206 6.3341 8.8690
angles: 90.00 90.00 106.63
Last column: nearest neighbours and their distance in Å.
Element x y z (fractional)
Tm1 0.3667 0.7340 0.9441  3 Pd 2.87-3.06
Pd1 0.2506 0.5004 0.2500  6 Tm 2.87-3.06, 2 Sc 2.98-2.99
Sc1 0.9457 0.8916 0.2500  2 Pd 2.98-2.99
Tm2 0.3667 0.7340 0.5559  3 Pd 2.87-3.06
Sc2 0.0543 0.1084 0.7500  2 Pd 2.98-2.99
Tm3 0.6333 0.2660 0.0559  3 Pd 2.87-3.06
Pd2 0.7494 0.4996 0.7500  6 Tm 2.87-3.06, 2 Sc 2.98-2.99
Tm4 0.6333 0.2660 0.4441  3 Pd 2.87-3.06

*x*
Density functional theory data (PBE-GGA) for an optimized crystal structure of Tm2ScPd.

As for the symmetry: P4mm (99). As for the magnetic moment: 0.01 μB/f.u.

abc: 4.8985 3.4671 8.0390
angles: 90.03 89.99 44.93
Last column: nearest neighbours and their distance in Å.
Element x y z (fractional)
Tm1 0.8776 0.9992 0.5402  4 Sc 3.36-3.37, 8 Tm 3.46-3.51
Tm2 0.3775 0.9998 0.2286  4 Pd 2.99, 1 Sc 3.23
Pd1 0.8777 0.9992 0.0151  4 Sc 2.88, 4 Tm 2.99
Sc1 0.3779 0.9989 0.8269  4 Pd 2.88

*y*
Density functional theory data (PBE-GGA) for an optimized crystal structure of Tm2ScPd.

As for the symmetry: P4/mmm (123). As for the magnetic moment: 0.00 μB/f.u.

abc: 3.5299 3.5299 7.7049
angles: 90.00 90.00 90.00
Last column: nearest neighbours and their distance in Å.
Element x y z (fractional)
Pd1 0.5000 0.5000 0.0000  8 Tm 2.99
Tm1 0.0000 0.0000 0.2147  4 Pd 2.99, 1 Tm 3.31, 4 Sc 3.33
Sc1 0.5000 0.5000 0.5000  8 Tm 3.33, 4 Sc 3.53
Tm2 0.0000 0.0000 0.7853  4 Pd 2.99, 1 Tm 3.31, 4 Sc 3.33

*z*
Density functional theory data (PBE-GGA) for an optimized crystal structure of Tm2ScPd.

As for the symmetry: P4/mmm (123). As for the magnetic moment: 0.01 μB/f.u.

abc: 3.6913 5.0153 5.0153
angles: 90.00 90.00 90.00
Last column: nearest neighbours and their distance in Å.
Element x y z (fractional)
Tm1 0.0000 0.0000 0.5000  4 Pd 3.11, 4 Sc 3.11
Tm2 0.0000 0.5000 0.0000  4 Sc 3.11, 4 Pd 3.11
Sc1 0.5000 0.0000 0.0000  8 Tm 3.11
Pd1 0.5000 0.5000 0.5000  8 Tm 3.11

Stability, lowest: *z*

*w*
Density functional theory data (PBE-GGA) for an optimized crystal structure of TmScPd4.

As for the symmetry: C2/m (12). As for the magnetic moment: 0.00 μB/f.u.

abc: 3.5897 5.1254 6.9581
angles: 104.55 75.05 69.50
Last column: nearest neighbours and their distance in Å.
Element x y z (fractional)
Pd1 0.6535 0.0128 0.6802  2 Sc 2.82, 6 Pd 2.89-3.14, 3 Tm 2.92-3.01
Tm1 0.5000 0.5000 0.5000  10 Pd 2.89-3.01
Pd2 0.8173 0.5222 0.8433  3 Sc 2.79-3.06, 5 Pd 2.84-2.95, 2 Tm 2.89
Pd3 0.3465 0.9872 0.3198  2 Sc 2.82, 6 Pd 2.89-3.14, 3 Tm 2.92-3.01
Sc1 0.0000 0.0000 0.0000  10 Pd 2.79-3.06
Pd4 0.1827 0.4778 0.1567  3 Sc 2.79-3.06, 5 Pd 2.84-2.95, 2 Tm 2.89

*x*
Density functional theory data (PBE-GGA) for an optimized crystal structure of TmScPd4.

As for the symmetry: F-43m (216). As for the magnetic moment: 0.00 μB/f.u.

abc: 5.3592 5.3592 5.3592
angles: 60.00 60.00 60.00
Last column: nearest neighbours and their distance in Å.
Element x y z (fractional)
Sc1 0.2500 0.2500 0.2500  12 Pd 3.14, 4 Tm 3.28
Pd1 0.6249 0.6249 0.1254  6 Pd 2.68
Tm1 0.0000 0.0000 0.0000  12 Pd 3.14, 4 Sc 3.28
Pd2 0.1254 0.6249 0.6249  6 Pd 2.68
Pd3 0.6249 0.1254 0.6249  6 Pd 2.68
Pd4 0.6249 0.6249 0.6249  6 Pd 2.68

*y*
Density functional theory data (PBE-GGA) for an optimized crystal structure of TmScPd4.

As for the symmetry: P4/mmm (123). As for the magnetic moment: 0.00 μB/f.u.

abc: 3.9558 3.9597 7.8328
angles: 90.00 90.00 90.00
Last column: nearest neighbours and their distance in Å.
Element x y z (fractional)
Sc1 0.0014 0.9972 0.4981  8 Pd 2.72
Pd1 0.0013 0.4973 0.7369  2 Sc 2.72, 4 Pd 2.80, 2 Tm 2.85
Tm1 0.5013 0.4973 0.9981  8 Pd 2.85
Pd2 0.0013 0.4973 0.2594  2 Sc 2.72, 4 Pd 2.80, 2 Tm 2.85
Pd3 0.5013 0.9974 0.2592  2 Sc 2.72, 4 Pd 2.80, 2 Tm 2.85
Pd4 0.5013 0.9973 0.7370  2 Sc 2.72, 4 Pd 2.80, 2 Tm 2.85

Stability, lowest: *y*

*w*
Density functional theory data (PBE-GGA) for an optimized crystal structure of ScPdW3.

As for the symmetry: Pm-3m (221). As for the magnetic moment: 0.00 μB/f.u.

abc: 4.7644 4.7644 4.7644
angles: 90.00 90.00 90.00
Last column: nearest neighbours and their distance in Å.
Element x y z (fractional)
Sc1 0.5000 0.5000 0.5000  12 W 3.37
W1 0.0000 0.0000 0.5000  2 Pd 2.38
W2 0.0000 0.5000 0.0000  2 Pd 2.38
Pd1 0.0000 0.0000 0.0000  6 W 2.38
W3 0.5000 0.0000 0.0000  2 Pd 2.38

*x*
Density functional theory data (PBE-GGA) for an optimized crystal structure of ScPdW3.

As for the symmetry: Pm-3m (221). As for the magnetic moment: 0.00 μB/f.u.

abc: 4.5622 4.5622 4.5622
angles: 90.00 90.00 90.00
Last column: nearest neighbours and their distance in Å.
Element x y z (fractional)
Pd1 0.5000 0.5000 0.5000  12 W 3.23
W1 0.0000 0.0000 0.5000  2 Sc 2.28
W2 0.0000 0.5000 0.0000  2 Sc 2.28
W3 0.5000 0.0000 0.0000  2 Sc 2.28
Sc1 0.0000 0.0000 0.0000  6 W 2.28

Stability, lowest: *x*